This record from Alexandria describes a geometry-optimized CaAlRh3 structure. The functional is PBE.

Structure (POSCAR):
```
CaAlRh3
1.0
4.559 0.000 0.000
0.000 4.559 0.000
0.000 0.000 4.559
Rh Ca Al
3 1 1
Cartesian
0.000 2.279 0.000 Rh
2.279 0.000 0.000 Rh
0.000 0.000 2.279 Rh
2.279 2.279 2.279 Ca
0.000 0.000 0.000 Al
```

Values from the calculation:
The total energy is -5.629 eV/atom. For the total magnetic moment, the calculation gives 0.000 μB/f.u. For the energy above the most stable polymorph in this dataset, the calculation gives 0.0000 eV per atom. The calculation puts the density of states at the Fermi level at 1.78 states/eV/atom. For the energy of formation, the calculation gives -69 meV per atom.



This record from Alexandria describes a geometry-optimized LaHfRh2 structure. The functional is PBE.

Structure (POSCAR):
```
LaHfRh2
1.0
-3.736 -1.649 6.091
1.388 -7.120 -1.076
1.517 -4.120 4.230
Rh Hf La
4 2 2
Cartesian
-0.883 -10.936 7.533 Rh
0.223 -6.205 5.079 Rh
0.871 -5.646 0.998 Rh
-1.873 -2.991 4.878 Rh
0.000 0.000 0.000 Hf
-1.696 -5.077 6.414 Hf
-1.174 -4.384 2.507 La
0.865 -7.812 2.830 La
```

Values from the calculation:
The total energy is -7.808 eV/atom. For the total magnetic moment, the calculation gives 0.000 μB/f.u. The calculation puts the density of states at the Fermi level at 0.50 states/eV/atom. For the energy of formation, the calculation gives -412 meV per atom.



This record from Alexandria describes a geometry-optimized TlTc2Mo structure. The functional is PBE.

Structure (POSCAR):
```
TlTc2Mo
1.0
-0.896 0.350 2.674
-1.487 -1.958 -1.425
5.885 -6.528 2.827
Mo Tl Tc
1 1 2
Cartesian
3.359 -5.852 2.810 Mo
2.926 -3.245 1.405 Tl
0.145 -2.286 1.267 Tc
0.014 -0.016 0.007 Tc
```

Values from the calculation:
The total energy is -7.875 eV/atom. For the total magnetic moment, the calculation gives 0.000 μB/f.u. For the energy above the most stable polymorph in this dataset, the calculation gives 0.2062 eV per atom. The calculation puts the density of states at the Fermi level at 1.22 states/eV/atom. For the energy of formation, the calculation gives 607 meV per atom.



This record from Alexandria describes a geometry-optimized TcHg3P structure. The functional is PBE.

Structure (POSCAR):
```
TcHg3P
1.0
5.074 0.000 0.000
0.000 5.074 0.000
0.000 0.000 5.074
Hg Tc P
3 1 1
Cartesian
0.000 2.537 0.000 Hg
2.537 0.000 0.000 Hg
0.000 0.000 2.537 Hg
2.537 2.537 2.537 Tc
0.000 0.000 0.000 P
```

Values from the calculation:
The total energy is -2.177 eV/atom. For the total magnetic moment, the calculation gives 4.301 μB/f.u. For the energy above the most stable polymorph in this dataset, the calculation gives 0.0000 eV per atom. The calculation puts the density of states at the Fermi level at 0.68 states/eV/atom. For the energy of formation, the calculation gives 1160 meV per atom.



This record from Alexandria describes a geometry-optimized SrScI2O structure. The functional is PBE.

Structure (POSCAR):
```
SrScI2O
1.0
6.322 0.000 0.000
0.000 6.322 0.000
0.000 0.000 4.345
O Sc I Sr
1 1 2 1
Cartesian
0.000 0.000 2.172 O
3.161 3.161 2.172 Sc
0.000 3.161 0.000 I
3.161 0.000 0.000 I
0.000 0.000 0.000 Sr
```

Values from the calculation:
The total energy is -3.918 eV/atom. For the total magnetic moment, the calculation gives 1.331 μB/f.u. For the energy above the most stable polymorph in this dataset, the calculation gives 0.9748 eV per atom. The calculation puts the density of states at the Fermi level at 1.42 states/eV/atom. For the formation energy (no corrections), the calculation gives -0.70 eV per atom.



This record from Alexandria describes a geometry-optimized K3Rb3SrBr8 structure. The functional is PBE.

Structure (POSCAR):
```
K3Rb3SrBr8
1.0
9.583 0.000 0.000
-4.792 8.299 -0.028
0.000 -5.507 8.044
K Br Sr Rb
3 8 1 3
Cartesian
2.396 1.396 4.008 K
-2.396 1.396 4.008 K
4.792 -2.754 4.022 K
2.193 -1.493 2.268 Br
2.598 4.285 5.749 Br
-2.598 4.285 5.749 Br
0.000 -0.216 5.765 Br
0.000 2.773 2.094 Br
4.792 0.019 5.922 Br
4.792 3.008 2.252 Br
7.390 -1.493 2.268 Br
0.000 -2.754 4.022 Sr
-2.396 4.149 -0.014 Rb
2.396 4.149 -0.014 Rb
0.000 0.000 0.000 Rb
```

Values from the calculation:
The total energy is -3.249 eV/atom. For the total magnetic moment, the calculation gives 0.000 μB/f.u. The calculation puts the density of states at the Fermi level at 0.00 states/eV/atom. For the formation energy (no corrections), the calculation gives -1.83 eV per atom.



This record from Alexandria describes a geometry-optimized AlGeSe3 structure. The functional is PBE.

Structure (POSCAR):
```
AlGeSe3
1.0
4.888 0.000 0.000
0.000 4.888 0.000
0.000 0.000 4.888
Se Ge Al
3 1 1
Cartesian
0.000 0.000 2.444 Se
0.000 2.444 0.000 Se
2.444 0.000 0.000 Se
2.444 2.444 2.444 Ge
0.000 0.000 0.000 Al
```

Values from the calculation:
The total energy is -3.712 eV/atom. For the total magnetic moment, the calculation gives 0.000 μB/f.u. The calculation puts the density of states at the Fermi level at 0.36 states/eV/atom. For the formation energy (no corrections), the calculation gives 0.05 eV per atom.



This record from Alexandria describes a geometry-optimized Cs2CuCl7 structure. The functional is PBE.

Structure (POSCAR):
```
Cs2CuCl7
1.0
-2.698 -6.647 -0.099
2.971 -1.110 -6.435
4.852 -5.830 -0.754
Cl Cu Cs
7 1 2
Cartesian
1.534 -2.514 -4.829 Cl
0.069 -1.967 -1.657 Cl
3.032 -5.076 -1.724 Cl
-1.260 -5.243 -1.706 Cl
0.204 -5.790 -4.878 Cl
2.094 -8.510 -5.564 Cl
0.137 -3.878 -3.267 Cl
0.000 0.000 0.000 Cu
3.980 -5.409 -5.228 Cs
1.146 -8.178 -2.060 Cs
```

Values from the calculation:
The total energy is -2.794 eV/atom. For the total magnetic moment, the calculation gives 0.000 μB/f.u. The calculation puts the density of states at the Fermi level at 0.00 states/eV/atom. For the formation energy (no corrections), the calculation gives -0.92 eV per atom.



This record from Alexandria describes a geometry-optimized Y5Cd structure. The functional is PBE.

Structure (POSCAR):
```
Y5Cd
1.0
-7.531 0.875 2.495
4.898 -4.515 -4.397
0.977 -2.751 3.913
Y Cd
5 1
Cartesian
1.047 -2.845 -2.262 Y
-4.609 -1.556 3.102 Y
-0.483 -3.345 0.814 Y
3.643 -5.135 -1.474 Y
-2.990 -1.095 -0.023 Y
-7.186 0.725 2.304 Cd
```

Values from the calculation:
The total energy is -5.593 eV/atom. For the total magnetic moment, the calculation gives 0.000 μB/f.u. For the energy above the most stable polymorph in this dataset, the calculation gives 0.0436 eV per atom. The calculation puts the density of states at the Fermi level at 1.36 states/eV/atom. For the energy of formation, the calculation gives -54 meV per atom.



This record from Alexandria describes a geometry-optimized LaScIN2 structure. The functional is PBE.

Structure (POSCAR):
```
LaScIN2
1.0
4.379 0.000 0.000
0.000 4.379 0.000
0.000 0.000 6.265
N I Sc La
2 1 1 1
Cartesian
0.000 2.189 0.000 N
2.189 0.000 0.000 N
0.000 0.000 3.133 I
2.189 2.189 3.133 Sc
0.000 0.000 0.000 La
```

Values from the calculation:
The total energy is -5.462 eV/atom. For the total magnetic moment, the calculation gives 0.523 μB/f.u. For the energy above the most stable polymorph in this dataset, the calculation gives 0.6332 eV per atom. The calculation puts the density of states at the Fermi level at 0.73 states/eV/atom. For the formation energy (no corrections), the calculation gives 0.43 eV per atom.



This record from Alexandria describes a geometry-optimized CaNd2Zn2Si2 structure. The functional is PBE.

Structure (POSCAR):
```
CaNd2Zn2Si2
1.0
-1.892 -2.127 3.024
2.217 -1.543 3.154
-1.481 8.627 7.994
Ca Nd Si Zn
1 2 2 2
Cartesian
0.000 0.000 0.000 Ca
-0.252 -0.094 8.332 Nd
-0.904 5.052 5.840 Nd
-0.965 4.331 10.998 Si
-0.190 0.627 3.174 Si
-0.083 -0.585 5.240 Zn
-1.072 5.543 8.932 Zn
```

Values from the calculation:
The total energy is -3.947 eV/atom. For the total magnetic moment, the calculation gives 0.797 μB/f.u. The calculation puts the density of states at the Fermi level at 0.73 states/eV/atom. For the formation energy (no corrections), the calculation gives -0.39 eV per atom.



This record from Alexandria describes a geometry-optimized MoIrRu2 structure. The functional is PBE.

Structure (POSCAR):
```
MoIrRu2
1.0
-2.547 1.284 -3.332
0.725 -2.258 -1.424
-3.672 -2.372 1.892
Ru Mo Ir
2 1 1
Cartesian
-1.732 -0.677 -1.824 Ru
0.465 -2.085 -1.159 Ru
-3.259 -3.026 -1.562 Mo
-1.716 -2.131 0.490 Ir
```

Values from the calculation:
The total energy is -9.728 eV/atom. For the total magnetic moment, the calculation gives 0.000 μB/f.u. For the energy above the most stable polymorph in this dataset, the calculation gives 0.0000 eV per atom. The calculation puts the density of states at the Fermi level at 0.56 states/eV/atom. For the energy of formation, the calculation gives -167 meV per atom.